The following is a DFT calculation (PBE-GGA) of Nd2TeH4 after structural relaxation.

Cell: 8.1149 8.1149 8.1149 Å, 28.53 28.53 28.53°
With the nearest neighbours (Å) after each atom.
Sites, in units of the cell vectors:
Nd1 0.2378 0.2378 0.2378  7 H 2.31-2.50
Nd2 0.7622 0.7622 0.7622  7 H 2.31-2.50
Te1 0.0000 0.0000 0.0000  8 H 3.20-3.31, 6 Nd 3.21
H1 0.1370 0.1370 0.1370  4 Nd 2.35-2.50, 3 H 2.45
H2 0.4350 0.4350 0.4350  3 Nd 2.31, 3 H 2.45
H3 0.5650 0.5650 0.5650  3 Nd 2.31, 3 H 2.45
H4 0.8630 0.8630 0.8630  4 Nd 2.35-2.50, 3 H 2.45

Calculated values
Final energy in eV/atom: -4.561
Calculated density in Mg/m³: 6.5